1.
# TlFe2Hg

A geometry-optimized TlFe2Hg structure (GGA-PBE, the Alexandria database).

Results
ΔE_f	263.9	kJ/mol of formula units
energy relative to the lowest polymorph listed for this composition	29.2	kJ/mol of atoms
density	11.92	Mg/m³
volume	72.0	Å³/cell
symmetry	F-43m (216)

abc: 4.669 4.669 4.669
angles: 60.00 60.00 60.00
Last column: magnetic moment on the atom in μB.
Atoms (fractional coordinates):
Tl (0.750, 0.750, 0.750)  0.02
Fe (0.250, 0.250, 0.250)  2.85
Fe (0.000, 0.000, 0.000)  2.76
Hg (0.500, 0.500, 0.500)  0.02

2.
# TbTm4Pu

A geometry-optimized TbTm4Pu structure (GGA-PBE, the Alexandria database).

Results
ΔE_f	425.9	kJ/mol of formula units
energy relative to the lowest polymorph listed for this composition	66.8	kJ/mol of atoms
density	8.51	Mg/m³
volume	421.0	Å³/cell
symmetry	I4_1md (109)

abc: 8.623 8.623 8.623
angles: 98.56 98.56 134.62
Last column: magnetic moment on the atom in μB.
Atoms (fractional coordinates):
Tm (0.737, 0.510, 0.228)  0.12
Tb (0.231, 0.231, 0.000)  0.00
Tm (0.260, 0.987, 0.728)  0.12
Tm (0.282, 0.510, 0.772)  0.12
Pu (0.753, 0.753, 0.000)  5.60
Tm (0.748, 0.495, 0.747)  0.27
Tm (0.260, 0.532, 0.272)  0.12
Tm (0.751, 0.998, 0.753)  0.27
Pu (0.503, 0.003, 0.500)  5.60
Tm (0.245, 0.998, 0.247)  0.27
Tm (0.748, 0.001, 0.253)  0.27
Tb (0.981, 0.481, 0.500)  0.00

3.
# NaCd2PbF8

A geometry-optimized NaCd2PbF8 structure (GGA-PBE, the Alexandria database).

Results
density	5.86	Mg/m³
volume	171.9	Å³/cell
symmetry	Pmmm (47)
final energy	-4.051	eV per atom

abc: 3.981 5.533 7.806
angles: 90.00 90.00 89.99
Atoms (fractional coordinates):
F (0.500, 0.254, 0.000)
F (0.500, 0.746, 0.000)
Pb (0.000, 0.000, 0.500)
F (0.000, 0.743, 0.264)
Cd (0.500, 0.500, 0.230)
Na (0.000, 0.000, 0.000)
F (0.000, 0.257, 0.736)
F (0.000, 0.743, 0.736)
F (0.500, 0.756, 0.500)
Cd (0.500, 0.500, 0.770)
F (0.000, 0.257, 0.264)
F (0.500, 0.244, 0.500)

4.
# CrRhCl2

A geometry-optimized CrRhCl2 structure (GGA-PBE, the Alexandria database).

Results
energy relative to the lowest polymorph listed for this composition	32.3	kJ/mol of atoms
density	6.03	Mg/m³
volume	62.2	Å³/cell
symmetry	R-3m (166)

abc: 7.927 7.927 7.927
angles: 22.17 22.17 22.17
Last column: magnetic moment on the atom in μB.
Atoms (fractional coordinates):
Cr (0.500, 0.500, 0.500)  -0.11
Rh (0.000, 0.000, 0.000)  0.02
Cl (0.100, 0.100, 0.100)  0.00
Cl (0.900, 0.900, 0.900)  0.00

5.
# Na3Er3GeS8

A geometry-optimized Na3Er3GeS8 structure (GGA-PBE, the Alexandria database).

Results
density	4.26	Mg/m³
volume	351.0	Å³/cell
symmetry	R-3m (166)
final energy	-5.160	eV per atom

abc: 7.745 7.746 8.103
angles: 118.57 90.00 120.00
Atoms (fractional coordinates):
S (0.235, 0.012, 0.289)
S (0.741, 0.482, 0.724)
Er (0.500, 0.000, 0.500)
S (0.765, 0.988, 0.711)
Ge (0.000, 0.000, 0.500)
S (0.777, 0.012, 0.289)
Er (0.000, 0.500, 0.500)
Na (0.000, 0.000, 0.000)
Na (0.000, 0.500, 0.000)
S (0.223, 0.445, 0.711)
S (0.777, 0.555, 0.289)
S (0.223, 0.988, 0.711)
Na (0.500, 0.500, 0.000)
S (0.259, 0.518, 0.276)
Er (0.500, 0.500, 0.500)

6.
# Dy4Tm5Pb2

A geometry-optimized Dy4Tm5Pb2 structure (GGA-PBE, the Alexandria database).

Results
ΔE_f	231.4	kJ/mol of formula units
density	8.70	Mg/m³
volume	364.6	Å³/cell
symmetry	R-3m (166)

abc: 5.262 5.262 15.503
angles: 80.23 80.23 60.00
Last column: magnetic moment on the atom in μB.
Atoms (fractional coordinates):
Dy (0.428, 0.428, 0.716)  0.03
Dy (0.726, 0.726, 0.823)  -0.03
Dy (0.572, 0.572, 0.284)  0.03
Tm (0.352, 0.352, 0.943)  -0.03
Tm (0.803, 0.803, 0.590)  0.14
Pb (0.121, 0.121, 0.638)  0.00
Tm (0.648, 0.648, 0.057)  -0.03
Tm (0.500, 0.500, 0.500)  0.26
Dy (0.274, 0.274, 0.177)  -0.03
Tm (0.197, 0.197, 0.410)  0.14
Pb (0.879, 0.879, 0.362)  0.00

density of number 1 (TlFe2Hg)?
11.92 Mg/m³

Which of these has the lowest density?
Na3Er3GeS8

Number 6 is which compound?
Dy4Tm5Pb2